# K2SbPb, optimized geometry, DFT PBE
# Relative energy among the computed polymorphs = 108.9 meV per atom
# Magnetic moment = 0.000 μB per cell
# ρ = 4.92 g/cm3
# Energy relative to the elements, uncorrected = -0.194 eV per atom
# Crystal system = tetragonal
data_K2SbPb
_space_group_name_H-M_alt 'P 4/m m m'
_space_group_IT_number 123
_space_group_name_Hall '-P 4 2'
_cell_length_a 5.014
_cell_length_b 5.014
_cell_length_c 5.462
_cell_angle_alpha 90.00
_cell_angle_beta 90.00
_cell_angle_gamma 90.00
loop_
_atom_site_label
_atom_site_fract_x
_atom_site_fract_y
_atom_site_fract_z
K1 0.000 0.500 0.000
Sb1 0.000 0.000 0.500
Pb1 0.500 0.500 0.500

---

# K3SbPb, optimized geometry, DFT PBE
# Relative energy among the computed polymorphs = 0.0 meV per atom
# Magnetic moment = 0.001 μB per cell
# ρ = 3.32 g/cm3
# Energy relative to the elements, uncorrected = -0.171 eV per atom
# Crystal system = orthorhombic
data_K3SbPb
_space_group_name_H-M_alt 'I m a 2'
_space_group_IT_number 46
_space_group_name_Hall 'I 2 -2a'
_cell_length_a 12.145
_cell_length_b 9.921
_cell_length_c 7.401
_cell_angle_alpha 90.00
_cell_angle_beta 90.00
_cell_angle_gamma 90.00
loop_
_atom_site_label
_atom_site_fract_x
_atom_site_fract_y
_atom_site_fract_z
K1 0.017 0.248 0.000
K2 0.250 0.035 0.748
Sb1 0.250 0.102 0.249
Pb1 0.250 0.689 0.750

---

# KSbPb, optimized geometry, DFT PBE
# Magnetic moment = 0.000 μB per cell
# ρ = 5.51 g/cm3
# Energy relative to the elements, uncorrected = -0.320 eV per atom
# Crystal system = orthorhombic
data_KSbPb
_space_group_name_H-M_alt 'P n m a'
_space_group_IT_number 62
_space_group_name_Hall '-P 2ac 2n'
_cell_length_a 8.477
_cell_length_b 5.291
_cell_length_c 9.891
_cell_angle_alpha 90.00
_cell_angle_beta 90.00
_cell_angle_gamma 90.00
loop_
_atom_site_label
_atom_site_fract_x
_atom_site_fract_y
_atom_site_fract_z
K1 0.013 0.250 0.182
Sb1 0.214 0.750 0.393
Pb1 0.153 0.250 0.571

---

# KSbPb3, optimized geometry, DFT PBE
# Relative energy among the computed polymorphs = 1102.1 meV per atom
# Magnetic moment = 0.000 μB per cell
# ρ = 6.31 g/cm3
# Energy relative to the elements, uncorrected = 1.007 eV per atom
# Crystal system = cubic
data_KSbPb3
_space_group_name_H-M_alt 'P m -3 m'
_space_group_IT_number 221
_space_group_name_Hall '-P 4 2 3'
_cell_length_a 5.905
_cell_length_b 5.905
_cell_length_c 5.905
_cell_angle_alpha 90.00
_cell_angle_beta 90.00
_cell_angle_gamma 90.00
loop_
_atom_site_label
_atom_site_fract_x
_atom_site_fract_y
_atom_site_fract_z
K1 0.000 0.000 0.000
Sb1 0.500 0.500 0.500
Pb1 0.000 0.000 0.500

---

# KSbPb2, optimized geometry, DFT PBE
# Magnetic moment = 0.000 μB per cell
# ρ = 6.68 g/cm3
# Energy relative to the elements, uncorrected = -0.150 eV per atom
# Crystal system = orthorhombic
data_KSbPb2
_space_group_name_H-M_alt 'I m m 2'
_space_group_IT_number 44
_space_group_name_Hall 'I 2 -2'
_cell_length_a 4.483
_cell_length_b 5.168
_cell_length_c 12.336
_cell_angle_alpha 90.00
_cell_angle_beta 90.00
_cell_angle_gamma 90.00
loop_
_atom_site_label
_atom_site_fract_x
_atom_site_fract_y
_atom_site_fract_z
K1 0.000 0.000 0.000
Sb1 0.000 0.500 0.268
Pb1 0.000 0.000 0.598
Pb2 0.000 0.500 0.768

---

# KSbPbSe3, optimized geometry, DFT PBE
# Magnetic moment = 0.000 μB per cell
# ρ = 4.32 g/cm3
# Energy relative to the elements, uncorrected = -0.596 eV per atom
# Crystal system = monoclinic
data_KSbPbSe3
_space_group_name_H-M_alt 'P 1 21/m 1'
_space_group_IT_number 11
_space_group_name_Hall '-P 2yb'
_cell_length_a 8.343
_cell_length_b 4.206
_cell_length_c 13.652
_cell_angle_alpha 90.00
_cell_angle_beta 104.04
_cell_angle_gamma 90.00
loop_
_atom_site_label
_atom_site_fract_x
_atom_site_fract_y
_atom_site_fract_z
K1 0.010 0.250 0.356
Sb1 0.496 0.250 0.626
Pb1 0.465 0.750 0.876
Se1 0.268 0.250 0.772
Se2 0.288 0.750 0.502
Se3 0.320 0.250 0.253

---

# K2SbPbSe4, optimized geometry, DFT PBE
# Magnetic moment = 0.000 μB per cell
# ρ = 4.88 g/cm3
# Energy relative to the elements, uncorrected = -0.656 eV per atom
# Crystal system = orthorhombic
data_K2SbPbSe4
_space_group_name_H-M_alt 'I m m a'
_space_group_IT_number 74
_space_group_name_Hall '-I 2b 2'
_cell_length_a 8.700
_cell_length_b 9.011
_cell_length_c 12.557
_cell_angle_alpha 90.00
_cell_angle_beta 90.00
_cell_angle_gamma 90.00
loop_
_atom_site_label
_atom_site_fract_x
_atom_site_fract_y
_atom_site_fract_z
K1 0.000 0.000 0.000
K2 0.250 0.250 0.250
Sb1 0.250 0.250 0.750
Pb1 0.000 0.000 0.500
Se1 0.000 0.034 0.744
Se2 0.235 0.250 0.520

---

# KSnSb2Pb, optimized geometry, DFT PBE
# Magnetic moment = 0.000 μB per cell
# ρ = 4.69 g/cm3
# Energy relative to the elements, uncorrected = -0.135 eV per atom
# Crystal system = monoclinic
data_KSnSb2Pb
_space_group_name_H-M_alt 'C 1 2/m 1'
_space_group_IT_number 12
_space_group_name_Hall '-C 2y'
_cell_length_a 18.939
_cell_length_b 4.725
_cell_length_c 10.025
_cell_angle_alpha 90.00
_cell_angle_beta 106.12
_cell_angle_gamma 90.00
loop_
_atom_site_label
_atom_site_fract_x
_atom_site_fract_y
_atom_site_fract_z
K1 0.171 0.000 0.143
Sn1 0.079 0.500 0.658
Sb1 0.081 0.500 0.361
Sb2 0.166 0.000 0.789
Pb1 0.184 0.000 0.502

---

# K2SnSb2Pb, optimized geometry, DFT PBE
# Magnetic moment = 0.000 μB per cell
# ρ = 4.58 g/cm3
# Energy relative to the elements, uncorrected = -0.257 eV per atom
# Crystal system = orthorhombic
data_K2SnSb2Pb
_space_group_name_H-M_alt 'I b a m'
_space_group_IT_number 72
_space_group_name_Hall '-I 2 2c'
_cell_length_a 7.889
_cell_length_b 15.441
_cell_length_c 7.717
_cell_angle_alpha 90.00
_cell_angle_beta 90.00
_cell_angle_gamma 90.00
loop_
_atom_site_label
_atom_site_fract_x
_atom_site_fract_y
_atom_site_fract_z
K1 0.241 0.168 0.000
Sn1 0.000 0.000 0.250
Sb1 0.233 0.099 0.500
Pb1 0.000 0.500 0.250

---

# KSnSbPb, optimized geometry, DFT PBE
# Magnetic moment = 0.000 μB per cell
# ρ = 5.31 g/cm3
# Energy relative to the elements, uncorrected = -0.025 eV per atom
# Crystal system = trigonal
data_KSnSbPb
_space_group_name_H-M_alt 'R 3 m'
_space_group_IT_number 160
_space_group_name_Hall 'R 3 -2"'
_cell_length_a 5.2564
_cell_length_b 5.2564
_cell_length_c 19.0904
_cell_angle_alpha 90.00
_cell_angle_beta 90.00
_cell_angle_gamma 120.00
loop_
_atom_site_label
_atom_site_fract_x
_atom_site_fract_y
_atom_site_fract_z
K1 0.0000 0.0000 0.0000
Sn1 0.0000 0.0000 0.8162
Sb1 0.0000 0.0000 0.2006
Pb1 0.0000 0.0000 0.4448

---

# K2SrSb2Pb, optimized geometry, DFT PBE
# Magnetic moment = 0.000 μB per cell
# ρ = 4.52 g/cm3
# Energy relative to the elements, uncorrected = -0.556 eV per atom
# Crystal system = orthorhombic
data_K2SrSb2Pb
_space_group_name_H-M_alt 'P m c 21'
_space_group_IT_number 26
_space_group_name_Hall 'P 2c -2'
_cell_length_a 4.857
_cell_length_b 10.168
_cell_length_c 9.166
_cell_angle_alpha 90.00
_cell_angle_beta 90.00
_cell_angle_gamma 90.00
loop_
_atom_site_label
_atom_site_fract_x
_atom_site_fract_y
_atom_site_fract_z
K1 0.000 0.084 0.000
K2 0.500 0.190 0.312
Sr1 0.500 0.433 0.904
Sb1 0.000 0.422 0.187
Sb2 0.500 0.148 0.725
Pb1 0.000 0.295 0.579

---

# KSb2TePb, optimized geometry, DFT PBE
# Relative energy among the computed polymorphs = 0.0 meV per atom
# Magnetic moment = 1.456 μB per cell
# ρ = 4.79 g/cm3
# Energy relative to the elements, uncorrected = 0.290 eV per atom
# Crystal system = tetragonal
data_KSb2TePb
_space_group_name_H-M_alt 'P 4/m m m'
_space_group_IT_number 123
_space_group_name_Hall '-P 4 2'
_cell_length_a 5.904
_cell_length_b 5.904
_cell_length_c 6.146
_cell_angle_alpha 90.00
_cell_angle_beta 90.00
_cell_angle_gamma 90.00
loop_
_atom_site_label
_atom_site_fract_x
_atom_site_fract_y
_atom_site_fract_z
K1 0.000 0.000 0.000
Sb1 0.000 0.500 0.500
Te1 0.500 0.500 0.000
Pb1 0.500 0.500 0.500

---

# KSb2TePb, optimized geometry, DFT PBE
# Relative energy among the computed polymorphs = 642.3 meV per atom
# Magnetic moment = 0.000 μB per cell
# ρ = 5.13 g/cm3
# Energy relative to the elements, uncorrected = 0.932 eV per atom
# Crystal system = tetragonal
data_KSb2TePb
_space_group_name_H-M_alt 'P 4/m m m'
_space_group_IT_number 123
_space_group_name_Hall '-P 4 2'
_cell_length_a 5.794
_cell_length_b 5.794
_cell_length_c 5.953
_cell_angle_alpha 90.00
_cell_angle_beta 90.00
_cell_angle_gamma 90.00
loop_
_atom_site_label
_atom_site_fract_x
_atom_site_fract_y
_atom_site_fract_z
K1 0.000 0.000 0.000
Sb1 0.000 0.500 0.000
Te1 0.000 0.000 0.500
Pb1 0.500 0.500 0.500

---

# KTl4Sb2Pb, optimized geometry, DFT PBE
# Magnetic moment = 0.000 μB per cell
# ρ = 7.53 g/cm3
# Energy relative to the elements, uncorrected = 0.020 eV per atom
# Crystal system = tetragonal
data_KTl4Sb2Pb
_space_group_name_H-M_alt 'P 4/m m m'
_space_group_IT_number 123
_space_group_name_Hall '-P 4 2'
_cell_length_a 4.614
_cell_length_b 4.614
_cell_length_c 13.540
_cell_angle_alpha 90.00
_cell_angle_beta 90.00
_cell_angle_gamma 90.00
loop_
_atom_site_label
_atom_site_fract_x
_atom_site_fract_y
_atom_site_fract_z
K1 0.000 0.000 0.000
Tl1 0.000 0.500 0.222
Sb1 0.500 0.500 0.386
Pb1 0.000 0.000 0.500

---

# KTl2Sb2Pb, optimized geometry, DFT PBE
# Magnetic moment = 0.000 μB per cell
# ρ = 7.76 g/cm3
# Energy relative to the elements, uncorrected = -0.093 eV per atom
# Crystal system = trigonal
data_KTl2Sb2Pb
_space_group_name_H-M_alt 'P -3 m 1'
_space_group_IT_number 164
_space_group_name_Hall '-P 3 2"'
_cell_length_a 5.4884
_cell_length_b 5.4884
_cell_length_c 7.3673
_cell_angle_alpha 90.00
_cell_angle_beta 90.00
_cell_angle_gamma 120.00
loop_
_atom_site_label
_atom_site_fract_x
_atom_site_fract_y
_atom_site_fract_z
K1 0.0000 0.0000 0.0000
Tl1 0.3333 0.6667 0.7744
Sb1 0.3333 0.6667 0.3168
Pb1 0.0000 0.0000 0.5000

---

# K2TlSb2Pb, optimized geometry, DFT PBE
# Magnetic moment = 0.000 μB per cell
# ρ = 5.18 g/cm3
# Energy relative to the elements, uncorrected = -0.273 eV per atom
# Crystal system = orthorhombic
data_K2TlSb2Pb
_space_group_name_H-M_alt 'I b a m'
_space_group_IT_number 72
_space_group_name_Hall '-I 2 2c'
_cell_length_a 7.792
_cell_length_b 15.652
_cell_length_c 7.705
_cell_angle_alpha 90.00
_cell_angle_beta 90.00
_cell_angle_gamma 90.00
loop_
_atom_site_label
_atom_site_fract_x
_atom_site_fract_y
_atom_site_fract_z
K1 0.235 0.167 0.000
Tl1 0.000 0.000 0.250
Sb1 0.248 0.396 0.000
Pb1 0.000 0.500 0.250

---

# K3Tl2Sb4Pb2, optimized geometry, DFT PBE
# Magnetic moment = 0.000 μB per cell
# ρ = 5.64 g/cm3
# Energy relative to the elements, uncorrected = -0.191 eV per atom
# Crystal system = trigonal
data_K3Tl2Sb4Pb2
_space_group_name_H-M_alt 'P -3 m 1'
_space_group_IT_number 164
_space_group_name_Hall '-P 3 2"'
_cell_length_a 5.3284
_cell_length_b 5.3284
_cell_length_c 17.0878
_cell_angle_alpha 90.00
_cell_angle_beta 90.00
_cell_angle_gamma 120.00
loop_
_atom_site_label
_atom_site_fract_x
_atom_site_fract_y
_atom_site_fract_z
K1 0.0000 0.0000 0.0000
K2 0.0000 0.0000 0.2729
Tl1 0.3333 0.6667 0.1380
Sb1 0.3333 0.6667 0.3892
Sb2 0.3333 0.6667 0.8637
Pb1 0.3333 0.6667 0.5683

---

# KTlSb2Pb, optimized geometry, DFT PBE
# Magnetic moment = 0.000 μB per cell
# ρ = 5.46 g/cm3
# Energy relative to the elements, uncorrected = 0.850 eV per atom
# Crystal system = tetragonal
data_KTlSb2Pb
_space_group_name_H-M_alt 'P 4/m m m'
_space_group_IT_number 123
_space_group_name_Hall '-P 4 2'
_cell_length_a 5.977
_cell_length_b 5.977
_cell_length_c 5.909
_cell_angle_alpha 90.00
_cell_angle_beta 90.00
_cell_angle_gamma 90.00
loop_
_atom_site_label
_atom_site_fract_x
_atom_site_fract_y
_atom_site_fract_z
K1 0.000 0.000 0.000
Tl1 0.500 0.500 0.500
Sb1 0.000 0.500 0.000
Pb1 0.000 0.000 0.500

---

# K2ScPb, optimized geometry, DFT PBE
# Magnetic moment = 0.821 μB per cell
# Formation enthalpy at 0 K = 0.1028 eV per atom
# ρ = 3.08 g/cm3
# Crystal system = monoclinic
data_K2ScPb
_space_group_name_H-M_alt 'C 1 m 1'
_space_group_IT_number 8
_space_group_name_Hall 'C -2y'
_cell_length_a 9.717
_cell_length_b 3.775
_cell_length_c 9.758
_cell_angle_alpha 90.00
_cell_angle_beta 95.49
_cell_angle_gamma 90.00
loop_
_atom_site_label
_atom_site_fract_x
_atom_site_fract_y
_atom_site_fract_z
K1 0.000 0.000 0.000
K2 0.220 0.000 0.621
Sc1 0.262 0.500 0.275
Pb1 0.489 0.000 0.371

---

# K2ScPb, optimized geometry, DFT PBE
# Magnetic moment = 1.960 μB per cell
# Formation enthalpy at 0 K = 0.2200 eV per atom
# ρ = 4.07 g/cm3
# Crystal system = tetragonal
data_K2ScPb
_space_group_name_H-M_alt 'I -4 m 2'
_space_group_IT_number 119
_space_group_name_Hall 'I -4 -2'
_cell_length_a 5.751
_cell_length_b 5.751
_cell_length_c 8.158
_cell_angle_alpha 90.00
_cell_angle_beta 90.00
_cell_angle_gamma 90.00
loop_
_atom_site_label
_atom_site_fract_x
_atom_site_fract_y
_atom_site_fract_z
K1 0.000 0.000 0.000
K2 0.000 0.500 0.250
Sc1 0.000 0.000 0.500
Pb1 0.000 0.500 0.750